Record 1
! NaCr2BAu | the Alexandria database | PBE-GGA | optimized geometry; values from VASP
&SYSTEM
  ibrav = 0, nat = 5, ntyp = 4
/
ATOMIC_SPECIES
Na 22.99 Na.upf
Cr 52.00 Cr.upf
B 10.81 B.upf
Au 196.97 Au.upf
ATOMIC_POSITIONS angstrom
Na 0.000 0.000 0.000
Cr 0.000 2.626 2.046
Cr 2.626 0.000 2.046
B 2.626 2.626 0.000
Au 2.626 2.626 2.046
CELL_PARAMETERS angstrom
5.251 0.000 0.000
0.000 5.251 0.000
0.000 0.000 4.092
! DFT formation energy	1.072	eV/atom

---

Record 2
! CrB2PtAu | the Alexandria database | PBE-GGA | optimized geometry; values from VASP
&SYSTEM
  ibrav = 0, nat = 5, ntyp = 4
/
ATOMIC_SPECIES
Cr 52.00 Cr.upf
B 10.81 B.upf
Pt 195.08 Pt.upf
Au 196.97 Au.upf
ATOMIC_POSITIONS angstrom
Cr 0.000 0.000 0.000
B 0.000 2.016 2.677
B 2.016 0.000 2.677
Pt 2.016 2.016 2.677
Au 2.016 2.016 0.000
CELL_PARAMETERS angstrom
4.031 0.000 0.000
0.000 4.031 0.000
0.000 0.000 5.353
! DFT formation energy	0.836	eV/atom

---

Record 3
! CrBTeRhAu | the Alexandria database | PBE-GGA | optimized geometry; values from VASP
&SYSTEM
  ibrav = 0, nat = 10, ntyp = 5
/
ATOMIC_SPECIES
Cr 52.00 Cr.upf
B 10.81 B.upf
Te 127.60 Te.upf
Rh 102.91 Rh.upf
Au 196.97 Au.upf
ATOMIC_POSITIONS angstrom
Cr 0.000 0.000 0.000
Cr 4.115 1.537 0.000
B 1.558 1.537 0.186
B 5.673 0.000 0.186
Te 0.059 0.000 2.930
Te 4.174 1.537 2.930
Rh 2.324 0.000 1.389
Rh 6.439 1.537 1.389
Au -0.731 0.000 5.555
Au 3.384 1.537 5.555
CELL_PARAMETERS angstrom
8.229 0.000 0.000
0.000 3.074 0.000
-3.020 0.000 7.069
! offset from the most stable computed form	183	meV/atom
! ΔE_f (raw)	0.111	eV/atom

---

Record 4
! CrBTeRhAu | the Alexandria database | PBE-GGA | optimized geometry; values from VASP
&SYSTEM
  ibrav = 0, nat = 5, ntyp = 5
/
ATOMIC_SPECIES
Cr 52.00 Cr.upf
B 10.81 B.upf
Te 127.60 Te.upf
Rh 102.91 Rh.upf
Au 196.97 Au.upf
ATOMIC_POSITIONS angstrom
Cr 0.000 0.000 0.000
B 0.000 1.948 1.067
Te 0.000 0.000 3.971
Rh 1.687 0.974 1.920
Au 0.000 1.948 6.449
CELL_PARAMETERS angstrom
3.374 0.000 0.000
-1.687 2.922 0.000
0.000 0.000 8.334
! offset from the most stable computed form	77	meV/atom
! ΔE_f (raw)	0.005	eV/atom

---

Record 5
! CrBTeRhAu | the Alexandria database | PBE-GGA | optimized geometry; values from VASP
&SYSTEM
  ibrav = 0, nat = 15, ntyp = 5
/
ATOMIC_SPECIES
Cr 52.00 Cr.upf
B 10.81 B.upf
Te 127.60 Te.upf
Rh 102.91 Rh.upf
Au 196.97 Au.upf
ATOMIC_POSITIONS angstrom
Cr 0.000 0.000 0.000
Cr 0.000 1.907 17.933
Cr 1.652 0.954 8.966
B 0.000 0.000 10.065
B 0.000 1.907 1.098
B 1.652 0.954 19.031
Te 0.000 0.000 4.117
Te 0.000 1.907 22.050
Te 1.652 0.954 13.084
Rh 0.000 0.000 19.911
Rh 0.000 1.907 10.944
Rh 1.652 0.954 1.978
Au 0.000 0.000 7.034
Au 0.000 1.907 24.967
Au 1.652 0.954 16.000
CELL_PARAMETERS angstrom
3.303 0.000 0.000
-1.652 2.861 0.000
0.000 0.000 26.899
! offset from the most stable computed form	82	meV/atom
! ΔE_f (raw)	0.010	eV/atom

---

Record 6
! CrBTeRhAu | the Alexandria database | PBE-GGA | optimized geometry; values from VASP
&SYSTEM
  ibrav = 0, nat = 15, ntyp = 5
/
ATOMIC_SPECIES
Cr 52.00 Cr.upf
B 10.81 B.upf
Te 127.60 Te.upf
Rh 102.91 Rh.upf
Au 196.97 Au.upf
ATOMIC_POSITIONS angstrom
Cr 0.000 0.000 0.000
Cr 0.000 1.911 17.225
Cr 1.655 0.956 8.612
B 0.000 0.000 18.383
B 0.000 1.911 9.770
B 1.655 0.956 1.158
Te 0.000 0.000 6.835
Te 0.000 1.911 24.060
Te 1.655 0.956 15.447
Rh 0.000 0.000 10.570
Rh 0.000 1.911 1.958
Rh 1.655 0.956 19.183
Au 0.000 0.000 4.058
Au 0.000 1.911 21.283
Au 1.655 0.956 12.671
CELL_PARAMETERS angstrom
3.310 0.000 0.000
-1.655 2.867 0.000
0.000 0.000 25.837
! offset from the most stable computed form	7	meV/atom
! ΔE_f (raw)	-0.065	eV/atom

---

Record 7
! CrBTeRhAu | the Alexandria database | PBE-GGA | optimized geometry; values from VASP
&SYSTEM
  ibrav = 0, nat = 5, ntyp = 5
/
ATOMIC_SPECIES
Cr 52.00 Cr.upf
B 10.81 B.upf
Te 127.60 Te.upf
Rh 102.91 Rh.upf
Au 196.97 Au.upf
ATOMIC_POSITIONS angstrom
Cr 0.000 0.000 0.000
B -0.460 1.821 0.899
Te 1.273 2.332 2.323
Rh -0.084 1.680 6.087
Au 1.664 0.409 4.389
CELL_PARAMETERS angstrom
3.682 0.000 0.000
-1.697 3.400 0.000
-0.405 -0.633 7.076
! offset from the most stable computed form	518	meV/atom
! ΔE_f (raw)	0.446	eV/atom

---

Record 8
! CrBTeRhAu | the Alexandria database | PBE-GGA | optimized geometry; values from VASP
&SYSTEM
  ibrav = 0, nat = 15, ntyp = 5
/
ATOMIC_SPECIES
Cr 52.00 Cr.upf
B 10.81 B.upf
Te 127.60 Te.upf
Rh 102.91 Rh.upf
Au 196.97 Au.upf
ATOMIC_POSITIONS angstrom
Cr 0.000 0.000 0.000
Cr 0.000 1.893 17.543
Cr 1.640 0.947 8.771
B 0.000 0.000 9.852
B 0.000 1.893 1.080
B 1.640 0.947 18.623
Te 0.000 0.000 4.170
Te 0.000 1.893 21.713
Te 1.640 0.947 12.942
Rh 0.000 0.000 19.544
Rh 0.000 1.893 10.773
Rh 1.640 0.947 2.001
Au 0.000 0.000 15.578
Au 0.000 1.893 6.807
Au 1.640 0.947 24.350
CELL_PARAMETERS angstrom
3.279 0.000 0.000
-1.640 2.840 0.000
0.000 0.000 26.314
! offset from the most stable computed form	93	meV/atom
! ΔE_f (raw)	0.022	eV/atom

---

Number 1: final energy -25.2 eV/cell, total moment 9.3 Bohr magnetons per cell. Number 2: final energy -28.1 eV/cell, total moment 4.9 Bohr magnetons per cell. Number 3: final energy -59.0 eV/cell, total moment 6.2 Bohr magnetons per cell. Number 4: final energy -30.0 eV/cell, total moment 2.7 Bohr magnetons per cell. Number 5: final energy -90.1 eV/cell, total moment 8.1 Bohr magnetons per cell. Number 6: final energy -91.2 eV/cell, total moment 3.2 Bohr magnetons per cell. Number 7: final energy -27.8 eV/cell, total moment 0.0 Bohr magnetons per cell. Number 8: final energy -89.9 eV/cell, total moment 7.0 Bohr magnetons per cell.